meta-GGA SCAN Tl2SbP, single point on PBEsol structure; raw formation energy = 0.10 eV/atom; D(E_F) = 0.42 states/eV/atom; VASP energy = -47.994 eV per atom; relative energy among the computed polymorphs = 0 meV per atom; magnetic moment = 0.0 μB per formula unit
1.0
3.662 0.000 0.000
1.831 3.172 0.000
1.831 1.057 9.005
P Tl Sb
1 2 1
Cartesian
3.662 2.114 4.271
5.493 3.172 6.442
5.493 3.172 0.056
1.831 1.057 2.738